Entry 1:
Material: CoRe2Cl
Method: DFT, PBE
State: optimized geometry

## Properties
The calculation puts the raw total energy at -8.089 eV per atom. Its relative energy among the computed polymorphs is 0.5 kJ per mole of atoms. As for the formation energy from raw total energies: 373 meV/atom. The spin magnetization comes out at 0.25 μB/atom. The value obtained for the density is 12.3 g cm⁻³.

abc: 2.899 3.029 7.153
angles: 89.99 90.00 90.00
Site moments in Bohr magnetons follow the coordinates.
Fractional coordinates of all 4 atoms:
Cl 0.000 0.500 0.506  0.01
Re 0.000 0.000 0.999  0.07
Re 0.500 0.500 0.214  -0.07
Co 0.500 0.500 0.781  1.02

---

Entry 2:
Material: NbAlV2
Method: DFT, PBE
State: optimized geometry

## Properties
The calculation puts the raw total energy at -7.492 eV per atom. The spin magnetization comes out at 0.00 μB/atom. The value obtained for the density is 5.7 g cm⁻³. The calculation puts the energy of formation from the pure elements at 0.52 eV/atom.

abc: 7.034 7.034 5.627
angles: 51.32 51.32 90.00
Fractional coordinates of all 8 atoms:
Nb 0.000 0.000 0.000
Nb 0.750 0.250 0.500
V 0.131 0.625 0.250
V 0.875 0.869 0.750
V 0.375 0.381 0.750
V 0.619 0.125 0.250
Al 0.500 0.500 0.000
Al 0.250 0.750 0.500